Material: AcTlSn
Method: DFT, PBE-GGA
State: optimized geometry

Cell: 6.079 9.244 6.904 Å, 90.00 90.00 90.00°
Space group Cmcm (No. 63)
One atom of each set of equivalent atoms:
Ac 0.000 0.162 0.250
Tl 0.000 0.192 0.750
Sn 0.000 0.500 0.000

Properties
Crystal system: orthorhombic
Total magnetization, μB/cell: 0.00
Energy of formation, eV/f.u.: -1.12
Final energy, Ha/atom: -0.142

***

Material: Tb3Y4Bi4
Method: DFT, PBE-GGA
State: optimized geometry

Cell: 4.123 9.342 17.729 Å, 90.00 90.00 90.00°
Space group Immm (No. 71)
One atom of each set of equivalent atoms:
Tb 0.000 0.000 0.000
Tb 0.000 0.500 0.103
Y 0.000 0.314 0.334
Bi 0.000 0.000 0.261
Bi 0.000 0.205 0.500

Properties
Crystal system: orthorhombic
Total magnetization, μB/cell: 5.17
Energy of formation, eV/f.u.: -6.25
Final energy, Ha/atom: -0.206

***

Material: Dy2ZnGaNi
Method: DFT, PBE-GGA
State: optimized geometry

Cell: 7.117 4.288 7.142 Å, 90.00 109.86 90.00°
Space group P2_1/m (No. 11)
One atom of each set of equivalent atoms:
Dy 0.125 0.250 0.345
Dy 0.292 0.250 0.947
Zn 0.337 0.750 0.652
Ga 0.437 0.750 0.316
Ni 0.098 0.750 0.068

Properties
Crystal system: monoclinic
Total magnetization, μB/cell: 0.00
Energy of formation, eV/f.u.: -2.44
Final energy, Ha/atom: -0.160